Record 1
DFT (SCAN) results for a crystal of LaNi2Pt relaxed with PBEsol.

Lattice parameters (Å, degrees): 4.257 4.257 5.204 65.86 65.86 60.00
Fractional positions:
Pt  0.500  0.500  0.500
Ni  0.190  0.190  0.429
Ni  0.810  0.810  0.571
La  0.000  0.000  0.000

Values from the calculation:
D(E_F) in states/eV/atom: 1.004
ΔE_f in eV per atom: -0.614
Space group: No. 166

---

Record 2
DFT (SCAN) results for a crystal of Os2RhAu relaxed with PBEsol.

Lattice parameters (Å, degrees): 3.844 3.844 4.746 113.89 113.89 90.00
Fractional positions:
Au  0.250  0.750  0.500
Os  0.000  0.000  0.000
Os  0.750  0.250  0.500
Rh  0.500  0.500  0.000

Values from the calculation:
D(E_F) in states/eV/atom: 0.933
ΔE_f in eV per atom: 0.429
Space group: No. 119

---

Record 3
DFT (SCAN) results for a crystal of SrZrCd2 relaxed with PBEsol.

Lattice parameters (Å, degrees): 3.313 5.399 6.387 115.00 105.03 90.00
Fractional positions:
Zr  0.276  0.776  0.552
Cd  0.725  0.225  0.449
Sr  0.490  0.490  0.980
Cd  0.009  0.009  0.019

Values from the calculation:
D(E_F) in states/eV/atom: 0.726
ΔE_f in eV per atom: 0.024
Space group: No. 44

---

Record 4
DFT (SCAN) results for a crystal of K2CaMn relaxed with PBEsol.

Lattice parameters (Å, degrees): 3.755 3.755 11.826 90.00 90.00 90.00
Last column: magnetic moment on the atom in μB.
Fractional positions:
K  0.000  0.000  0.211  -0.01
Ca  0.500  0.500  0.500  0.02
K  0.000  0.000  0.789  -0.01
Mn  0.500  0.500  0.000  4.59

Values from the calculation:
D(E_F) in states/eV/atom: 0.872
ΔE_f in eV per atom: 0.514
Space group: No. 123

---

Record 5
DFT (SCAN) results for a crystal of KMnW2 relaxed with PBEsol.

Lattice parameters (Å, degrees): 3.788 3.788 5.653 109.58 109.58 90.00
Last column: magnetic moment on the atom in μB.
Fractional positions:
K  0.500  0.500  0.000  0.02
W  0.250  0.750  0.500  -0.21
Mn  0.000  0.000  0.000  3.94
W  0.750  0.250  0.500  -0.21

Values from the calculation:
D(E_F) in states/eV/atom: 0.730
ΔE_f in eV per atom: 1.642
Space group: No. 139

---

Record 6
DFT (SCAN) results for a crystal of HIrSe2 relaxed with PBEsol.

Lattice parameters (Å, degrees): 2.876 2.876 7.854 79.45 79.45 60.00
Fractional positions:
Se  0.897  0.897  0.309
Se  0.103  0.103  0.691
Ir  0.000  0.000  0.000
H  0.500  0.500  0.500

Values from the calculation:
D(E_F) in states/eV/atom: 0.400
DFT total energy in eV per atom: -27.99
Space group: No. 166

---

Number 1: ρ 10.41 g cm⁻³. Number 2: ρ 19.65 g cm⁻³. Number 3: ρ 6.75 g cm⁻³. Number 4: ρ 1.72 g cm⁻³. Number 5: ρ 10.73 g cm⁻³. Number 6: ρ 10.61 g cm⁻³.